DFT (PBE+U) results for an optimized crystal structure of RbCrO3.

Cell: 4.2818 4.2818 4.2818 Å, 90.00 90.00 90.00°
Each line ends with the local moment (μB).
Positions (direct):
Cr 0.5000 0.5000 0.5000  -4.16
O 0.0000 0.5000 0.0000  0.29
O 0.0000 0.0000 0.5000  0.19
O 0.5000 0.0000 0.0000  0.21
Rb 0.0000 0.0000 0.0000  0.07

Magnetic moment, μB/cell: 3.6
V, Å³/atom: 15.7
Symmetry: Pm-3m, No. 221
Total DFT energy (no corrections), eV per atom: -3.675
DOS(E_F), states/eV/atom: 1.058